DFT (PBE) results for an optimized crystal structure of CaAsPb2.

Lattice parameters (Å, degrees): 9.054 9.054 6.048 90.00 90.00 90.00
Space group I-42d (No. 122)
Unique sites:
Ca 0.000 0.000 0.000 x4
As 0.000 0.000 0.500 x4
Pb 0.194 0.750 0.625 x8

Its calculated volume is 30.99 Å³/atom. For the formation energy from the elements, the calculation gives -0.274 eV/atom. As for the total energy: -3.791 eV/atom. Its total magnetic moment is 0.00 μB/cell.